Entry from Alexandria via LeMat-Bulk: a relaxed Ag2Mo crystal (PBE-GGA).

Results
Formation energy from the elements: 89.8 kJ per mole of atoms
Electronic total energy: -4.580 eV/atom
Fermi-level density of states: 0.98 states/eV per atom
Calculated density: 7.9 g cm⁻³

abc: 4.9544 4.9544 2.6666
angles: 90.00 90.00 90.00
Element x y z (fractional)
Ag 0.0000 0.5000 0.0000
Ag 0.5000 0.0000 0.0000
Mo 0.0000 0.0000 0.5000